4
Lattice="3.0684 0.0000 0.0000 0.0000 3.9237 0.0000 0.0000 0.0000 4.6432" Properties=species:S:1:pos:R:3 comment="Si2TcP PBE-GGA relaxed" formation_energy_uncorrected_ev_per_fu=1.16 sg="Pmmm (47)" pbc="T T T"
Si 0.0000 0.0000 0.0000
Si 1.5342 0.0000 2.3216
Tc 0.0000 1.9618 2.3216
P 1.5342 1.9618 0.0000

15
Lattice="0.0000 5.8002 5.8002 5.8002 0.0000 5.8002 5.8002 5.8002 0.0000" Properties=species:S:1:pos:R:3 comment="Pr6SnS8 PBE-GGA relaxed" formation_energy_uncorrected_ev_per_fu=-27.15 sg="Fm-3m (225)" pbc="T T T"
Pr 2.9001 2.9001 0.0000
Pr 2.9001 0.0000 2.9001
Pr 5.8002 2.9001 2.9001
Pr 0.0000 2.9001 2.9001
Pr 2.9001 5.8002 2.9001
Pr 2.9001 2.9001 5.8002
Sn 0.0000 0.0000 0.0000
S 5.8002 5.8002 2.8816
S 5.8002 2.8816 5.8002
S 8.7189 5.8002 5.8002
S 2.9001 2.9001 2.9001
S 8.7003 8.7003 8.7003
S 2.8816 5.8002 5.8002
S 5.8002 8.7189 5.8002
S 5.8002 5.8002 8.7189

12
Lattice="4.1699 0.0000 0.0000 -2.0850 3.6112 0.0000 0.0000 0.0000 38.0407" Properties=species:S:1:pos:R:3 comment="Ba2CaMg PBE-GGA relaxed" sg="R-3m (166)" formation_energy_ev_per_fu=0.417 pbc="T T T"
Ba 0.0000 0.0000 9.2072
Ba 0.0000 0.0000 28.8335
Ba 0.0000 2.4075 16.1532
Ba 0.0000 2.4075 34.5677
Ba 2.0850 1.2037 3.4730
Ba 2.0850 1.2037 21.8875
Ca 0.0000 0.0000 0.0000
Ca 0.0000 2.4075 25.3605
Ca 2.0850 1.2037 12.6802
Mg 0.0000 0.0000 19.0203
Mg 0.0000 2.4075 6.3401
Mg 2.0850 1.2037 31.7006